1.
Computed, not measured: ScNiNF2 at its PBEsol-relaxed geometry at the meta-GGA SCAN level of DFT.

Formation energy from raw total energies   -34.3 kcal/mol of atoms
Crystal system   tetragonal

Cell: 3.6823 3.6823 3.9639 Å, 90.00 90.00 90.00°
Space group P4/mmm (No. 123)
Asymmetric unit:
1 Sc 0.0000 0.0000 0.0000 x1
2 Ni 0.5000 0.5000 0.5000 x1
3 N 0.5000 0.5000 0.0000 x1
4 F 0.0000 0.5000 0.5000 x2

***

2.
Computed, not measured: TaCu2Ir at its PBEsol-relaxed geometry at the meta-GGA SCAN level of DFT.

Formation energy   22 meV per atom
Crystal system   monoclinic
Distance to the lowest polymorph of the same formula   131 meV per atom

Cell: 5.2251 9.0466 2.7475 Å, 90.00 119.45 90.00°
Space group C2/m (No. 12)
Asymmetric unit:
1 Ta 0.0000 0.0000 0.0000 x2
2 Cu 0.2500 0.2500 0.5000 x4
3 Ir 0.0000 0.5000 0.0000 x2

***

3.
Computed, not measured: Li2V3P4O14 at its PBEsol-relaxed geometry at the meta-GGA SCAN level of DFT.

Formation energy from raw total energies   -57.4 kcal/mol of atoms
Crystal system   triclinic
Distance to the lowest polymorph of the same formula   32 meV per atom

Cell: 5.4380 6.8912 7.3062 Å, 74.44 83.25 67.57°
Space group P-1 (No. 2)
Asymmetric unit:
1 Li 0.1374 0.0266 0.1901 x2
2 V 0.3063 0.4862 0.1874 x2
3 V 0.5000 0.0000 0.5000 x1
4 P 0.1523 0.6864 0.5659 x2
5 P 0.3056 0.2621 0.8452 x2
6 O 0.0451 0.2650 0.9514 x2
7 O 0.1364 0.2226 0.3580 x2
8 O 0.1726 0.7280 0.3517 x2
9 O 0.2379 0.4319 0.6395 x2
10 O 0.3434 0.7558 0.6508 x2
11 O 0.4566 0.3456 0.9531 x2
12 O 0.4723 0.0561 0.7844 x2

***

| no. | total energy (eV/atom) | calculated volume (Å³/cell) |
| --- | --- | --- |
| 1 | -10.842 | 53.7 |
| 2 | -41.999 | 113.1 |
| 3 | -10.581 | 243.8 |